Entry 1:
# Cr3Mo

A relaxed Cr3Mo crystal (PBE-GGA, the Alexandria database).

Cell lengths 3.454, 3.454, 8.735 Å; angles 90.00, 90.00, 90.00 degrees
Space group I4/mmm (No. 139)
Symmetry-distinct sites (fractional):
Cr1 0.000 0.000 0.000 [2 per cell]
Cr2 0.000 0.500 0.250 [4 per cell]
Mo1 0.000 0.000 0.500 [2 per cell]

Calculated values
Final energy, eV/atom: -9.607

---

Entry 2:
# Cr2Mo

A relaxed Cr2Mo crystal (PBE-GGA, the Alexandria database).

Cell lengths 5.726, 5.726, 5.726 Å; angles 90.00, 90.00, 90.00 degrees
Space group Pa-3 (No. 205)
Symmetry-distinct sites (fractional):
Cr1 0.118 0.118 0.118 [8 per cell]
Mo1 0.000 0.000 0.500 [4 per cell]

Calculated values
Energy relative to the lowest polymorph listed for this composition, meV/atom: 1327
Final energy, eV/atom: -8.639

---

Entry 3:
# Cr4Mo

A relaxed Cr4Mo crystal (PBE-GGA, the Alexandria database).

Cell lengths 4.663, 4.663, 4.663 Å; angles 90.00, 90.00, 90.00 degrees
Space group Pm-3m (No. 221)
Symmetry-distinct sites (fractional):
Cr1 0.000 0.000 0.000 [1 per cell]
Cr2 0.000 0.500 0.500 [3 per cell]
Mo1 0.500 0.500 0.500 [1 per cell]

Calculated values
Energy relative to the lowest polymorph listed for this composition, meV/atom: 1623
Final energy, eV/atom: -8.187

---

Number 1: energy of formation from the pure elements 0.318 eV/atom. Number 2: energy of formation from the pure elements 1.387 eV/atom. Number 3: energy of formation from the pure elements 1.678 eV/atom.